Material: Ho2ScNi
Method: DFT, PBE
State: relaxed

Output
energy of formation from the pure elements	-4.958	kcal/mol of atoms
M_tot	0.00	Bohr magnetons per cell
energy above the most stable polymorph in this dataset	35.5	meV per atom

The structure in CIF format:
```
data_Ho2ScNi
_chemical_formula_sum 'Ho4 Sc2 Ni2'
_cell_length_a 3.518
_cell_length_b 9.247
_cell_length_c 6.127
_cell_angle_alpha 90.00
_cell_angle_beta 106.68
_cell_angle_gamma 90.00
_symmetry_space_group_name_H-M 'P 1 21/m 1'
_symmetry_Int_Tables_number 11
_symmetry_space_group_name_Hall '-P 2yb'
loop_
_atom_site_label
_atom_site_type_symbol
_atom_site_fract_x
_atom_site_fract_y
_atom_site_fract_z
Ho1 Ho 0.135 0.068 0.270
Sc1 Sc 0.419 0.250 0.839
Ni1 Ni 0.250 0.750 0.499
```

---

Material: SmAl8Cr4
Method: DFT, PBE
State: relaxed

Output
energy of formation from the pure elements	-4.893	kcal/mol of atoms
M_tot	5.69	Bohr magnetons per cell

The structure in CIF format:
```
data_SmAl8Cr4
_chemical_formula_sum 'Sm2 Al16 Cr8'
_cell_length_a 8.969
_cell_length_b 8.969
_cell_length_c 5.049
_cell_angle_alpha 90.00
_cell_angle_beta 90.00
_cell_angle_gamma 90.00
_symmetry_space_group_name_H-M 'I 4/m m m'
_symmetry_Int_Tables_number 139
_symmetry_space_group_name_Hall '-I 4 2'
loop_
_atom_site_label
_atom_site_type_symbol
_atom_site_fract_x
_atom_site_fract_y
_atom_site_fract_z
Sm1 Sm 0.000 0.000 0.000
Al1 Al 0.000 0.225 0.500
Al2 Al 0.000 0.340 0.000
Cr1 Cr 0.250 0.250 0.250
```

---

Material: YSb2Ir
Method: DFT, PBE
State: relaxed

Output
formation energy (no corrections)	-0.531	eV per atom
M_tot	0.00	Bohr magnetons per cell

The structure in CIF format:
```
data_YSb2Ir
_chemical_formula_sum 'Y2 Sb4 Ir2'
_cell_length_a 7.372
_cell_length_b 4.272
_cell_length_c 6.490
_cell_angle_alpha 90.00
_cell_angle_beta 112.39
_cell_angle_gamma 90.00
_symmetry_space_group_name_H-M 'C 1 2/m 1'
_symmetry_Int_Tables_number 12
_symmetry_space_group_name_Hall '-C 2y'
loop_
_atom_site_label
_atom_site_type_symbol
_atom_site_fract_x
_atom_site_fract_y
_atom_site_fract_z
Y1 Y 0.000 0.000 0.000
Sb1 Sb 0.232 0.000 0.695
Ir1 Ir 0.000 0.500 0.500
```

---

Material: BaAlCd3
Method: DFT, PBE
State: relaxed

Output
energy of formation from the pure elements	20.984	kcal/mol of atoms
M_tot	0.00	Bohr magnetons per cell
energy above the most stable polymorph in this dataset	1160.3	meV per atom

The structure in CIF format:
```
data_BaAlCd3
_chemical_formula_sum 'Ba1 Al1 Cd3'
_cell_length_a 6.440
_cell_length_b 6.440
_cell_length_c 6.440
_cell_angle_alpha 90.00
_cell_angle_beta 90.00
_cell_angle_gamma 90.00
_symmetry_space_group_name_H-M 'P m -3 m'
_symmetry_Int_Tables_number 221
_symmetry_space_group_name_Hall '-P 4 2 3'
loop_
_atom_site_label
_atom_site_type_symbol
_atom_site_fract_x
_atom_site_fract_y
_atom_site_fract_z
Ba1 Ba 0.000 0.000 0.000
Al1 Al 0.500 0.500 0.500
Cd1 Cd 0.000 0.000 0.500
```

---

Material: Ba2TaPb
Method: DFT, PBE
State: relaxed

Output
energy of formation from the pure elements	10.721	kcal/mol of atoms
M_tot	5.06	Bohr magnetons per cell

The structure in CIF format:
```
data_Ba2TaPb
_chemical_formula_sum 'Ba4 Ta2 Pb2'
_cell_length_a 4.812
_cell_length_b 5.157
_cell_length_c 12.967
_cell_angle_alpha 90.00
_cell_angle_beta 90.00
_cell_angle_gamma 90.00
_symmetry_space_group_name_H-M 'A m m 2'
_symmetry_Int_Tables_number 38
_symmetry_space_group_name_Hall 'A 2 -2'
loop_
_atom_site_label
_atom_site_type_symbol
_atom_site_fract_x
_atom_site_fract_y
_atom_site_fract_z
Ba1 Ba 0.000 0.000 0.000
Ba2 Ba 0.500 0.000 0.289
Ta1 Ta 0.500 0.000 0.589
Pb1 Pb 0.000 0.000 0.707
```

---

Material: ErTmGaHg
Method: DFT, PBE
State: relaxed

Output
energy of formation from the pure elements	-11.568	kcal/mol of atoms
M_tot	0.00	Bohr magnetons per cell
energy above the most stable polymorph in this dataset	21.5	meV per atom

The structure in CIF format:
```
data_ErTmGaHg
_chemical_formula_sum 'Er4 Tm4 Ga4 Hg4'
_cell_length_a 7.245
_cell_length_b 7.245
_cell_length_c 7.245
_cell_angle_alpha 90.00
_cell_angle_beta 90.00
_cell_angle_gamma 90.00
_symmetry_space_group_name_H-M 'F -4 3 m'
_symmetry_Int_Tables_number 216
_symmetry_space_group_name_Hall 'F -4 2 3'
loop_
_atom_site_label
_atom_site_type_symbol
_atom_site_fract_x
_atom_site_fract_y
_atom_site_fract_z
Er1 Er 0.000 0.000 0.000
Tm1 Tm 0.000 0.000 0.500
Ga1 Ga 0.250 0.250 0.250
Hg1 Hg 0.250 0.250 0.750
```